[1]
K2Cd4In3Hg: relaxed, GGA-PBE.

Lattice parameters (Å, degrees): 4.8646 4.8646 12.6926 90.00 90.00 90.00
Fractional coordinates of all 10 atoms:
K (0.5000, 0.0000, 0.2501)
K (0.0000, 0.5000, 0.7499)
Cd (0.5000, 0.5000, 0.0000)
Cd (0.0000, 0.0000, 0.0000)
Cd (0.5000, 0.0000, 0.6391)
Cd (0.0000, 0.5000, 0.3609)
In (0.0000, 0.0000, 0.5000)
In (0.5000, 0.0000, 0.8661)
In (0.0000, 0.5000, 0.1339)
Hg (0.5000, 0.5000, 0.5000)

**VASP energy**: -1.5278 eV/atom
**M_tot**: 0.000 μB/atom
**Calculated formation energy**: -91 meV per atom
**Space group**: No. 115

[2]
KCdInHg2: relaxed, GGA-PBE.

Lattice parameters (Å, degrees): 5.6973 5.6973 5.5803 90.00 90.00 90.00
Fractional coordinates of all 5 atoms:
K (0.5000, 0.5000, 0.5000)
Cd (0.0000, 0.0000, 0.0000)
Hg (0.0000, 0.5000, 0.0000)
Hg (0.5000, 0.0000, 0.0000)
In (0.0000, 0.0000, 0.5000)

**VASP energy**: -1.0598 eV/atom
**M_tot**: 0.000 μB/atom
**Calculated formation energy**: 11 meV per atom
**Space group**: No. 123

[3]
KCdInHg3: relaxed, GGA-PBE.

Lattice parameters (Å, degrees): 7.8470 7.2577 7.8016 117.72 90.00 90.00
Fractional coordinates of all 12 atoms:
K (0.7500, 0.3083, 0.6166)
K (0.2500, 0.6917, 0.3834)
Cd (0.2500, 0.3713, 0.7426)
Cd (0.7500, 0.6287, 0.2574)
In (0.2500, 0.9417, 0.8834)
In (0.7500, 0.0583, 0.1166)
Hg (0.2500, 0.1625, 0.3250)
Hg (0.0000, 0.2876, 0.0000)
Hg (0.5000, 0.7124, 0.0000)
Hg (0.5000, 0.2876, 0.0000)
Hg (0.0000, 0.7124, 0.0000)
Hg (0.7500, 0.8375, 0.6750)

**VASP energy**: -1.0024 eV/atom
**M_tot**: 0.000 μB/atom
**Calculated formation energy**: -60 meV per atom
**Space group**: No. 63

[4]
KCd2InHg4: relaxed, GGA-PBE.

Lattice parameters (Å, degrees): 5.0736 5.0736 10.6756 76.25 76.25 60.00
Fractional coordinates of all 8 atoms:
K (0.0000, 0.0000, 0.0000)
Cd (0.7585, 0.7585, 0.7245)
Cd (0.2415, 0.2415, 0.2755)
In (0.5000, 0.5000, 0.5000)
Hg (0.3922, 0.3922, 0.8233)
Hg (0.8722, 0.8722, 0.3833)
Hg (0.1278, 0.1278, 0.6167)
Hg (0.6078, 0.6078, 0.1767)

**VASP energy**: -0.9465 eV/atom
**M_tot**: 0.000 μB/atom
**Calculated formation energy**: -87 meV per atom
**Space group**: No. 166